## Pr8Ga2Cu (PBE-GGA)

Data for crystalline Pr8Ga2Cu at its relaxed geometry.

Cell and atoms, written as CIF:
```
data_Pr8Ga2Cu
_chemical_formula_sum 'Pr16 Ga4 Cu2'
_symmetry_space_group_name_H-M 'C 1 2/m 1'
_symmetry_Int_Tables_number 12
_symmetry_space_group_name_Hall '-C 2y'
_cell_length_a 19.112
_cell_length_b 5.117
_cell_length_c 6.937
_cell_angle_alpha 90.00
_cell_angle_beta 103.89
_cell_angle_gamma 90.00
loop_
_atom_site_label
_atom_site_fract_x
_atom_site_fract_y
_atom_site_fract_z
Pr1 0.019 0.000 0.279
Pr2 0.093 0.500 0.968
Pr3 0.156 0.500 0.479
Pr4 0.209 0.000 0.812
Ga1 0.184 0.000 0.246
Cu1 0.000 0.500 0.500
```

Calculated values
Magnetic moment, μB/f.u.: 0.00
E_tot, eV/atom: -4.608
Excess energy over the best structure of this formula in the dataset, eV/atom: 0.000
DFT formation energy, meV per atom: -209